Run A
TbAsPO, optimized geometry, DFT GGA-PBE; V = 144.3 Å³/cell; symmetry = P4/nmm (129)
1.0
4.2853 0.0000 0.0000
0.0000 4.2853 0.0000
0.0000 0.0000 7.8595
Tb As P O
2 2 2 2
direct
0.2500 0.2500 0.1135
0.7500 0.7500 0.8865
0.2500 0.7500 0.5000
0.7500 0.2500 0.5000
0.2500 0.2500 0.6656
0.7500 0.7500 0.3344
0.2500 0.7500 0.0000
0.7500 0.2500 0.0000



Run B
TbAsPO, optimized geometry, DFT GGA-PBE; V = 210.1 Å³/cell; symmetry = Pmc2_1 (26)
1.0
5.0275 0.0000 0.0000
0.0000 6.7766 0.0000
0.0000 0.0000 6.1658
Tb As P O
2 2 2 2
direct
0.0000 0.1772 0.0000
0.0000 0.8228 0.5000
0.5000 0.3147 0.5740
0.5000 0.6853 0.0740
0.5000 0.3724 0.9417
0.5000 0.6276 0.4417
0.0000 0.0687 0.3083
0.0000 0.9313 0.8083



Relative energies, in meV per atom, with the most stable structure set to zero: run A 0; run B 43.